No. 1
The following is a GGA-PBE calculation of crystalline ZrAgOs2 at its relaxed geometry, from Alexandria via LeMat-Bulk.

Excess energy over the best structure of this formula in the dataset   0.116 eV/atom
SG   No. 119
DFT formation energy   0.251 eV/atom
Total magnetic moment   0.00 Bohr magnetons per cell

Structure (POSCAR):
```
ZrAgOs2
1.0
-3.732 -2.749 1.783
-2.200 -2.470 -3.705
4.760 0.427 1.351
Os Zr Ag
2 1 1
Cartesian
0.000 0.000 0.000
-0.203 -2.326 -1.657
-2.966 -2.609 -0.961
-0.969 -2.466 1.087
```

No. 2
The following is a GGA-PBE calculation of crystalline Zr3AgOs at its relaxed geometry, from Alexandria via LeMat-Bulk.

Excess energy over the best structure of this formula in the dataset   0.000 eV/atom
SG   No. 221
DFT formation energy   0.428 eV/atom
Total magnetic moment   0.00 Bohr magnetons per cell

Structure (POSCAR):
```
Zr3AgOs
1.0
5.060 0.000 0.000
0.000 5.060 0.000
0.000 0.000 5.060
Zr Os Ag
3 1 1
Cartesian
0.000 2.530 0.000
2.530 0.000 0.000
0.000 0.000 2.530
0.000 0.000 0.000
2.530 2.530 2.530
```

No. 3
The following is a GGA-PBE calculation of crystalline Zr2AgOs at its relaxed geometry, from Alexandria via LeMat-Bulk.

SG   No. 123
DFT formation energy   -0.223 eV/atom
Total magnetic moment   0.00 Bohr magnetons per cell

Structure (POSCAR):
```
Zr2AgOs
1.0
4.790 0.000 0.000
0.000 3.291 -0.001
0.000 0.002 4.789
Zr Ag Os
2 1 1
Cartesian
2.395 0.412 1.795
0.000 0.413 4.191
0.000 2.058 1.796
2.395 2.059 4.189
```

No. 4
The following is a GGA-PBE calculation of crystalline Zr2AgOs at its relaxed geometry, from Alexandria via LeMat-Bulk.

SG   No. 119
DFT formation energy   -0.012 eV/atom
Total magnetic moment   0.00 Bohr magnetons per cell

Structure (POSCAR):
```
Zr2AgOs
1.0
5.299 0.000 0.000
2.114 4.860 0.000
-3.707 -2.430 2.905
Zr Ag Os
2 1 1
Cartesian
0.000 0.000 0.000
1.057 2.430 1.453
3.707 2.430 0.000
2.650 0.000 1.453
```

No. 5
The following is a GGA-PBE calculation of crystalline Zr2AgOs at its relaxed geometry, from Alexandria via LeMat-Bulk.

SG   No. 160
DFT formation energy   0.280 eV/atom
Total magnetic moment   0.00 Bohr magnetons per cell

Structure (POSCAR):
```
Zr2AgOs
1.0
9.644 0.012 0.007
9.142 3.071 0.007
9.142 1.500 2.680
Zr Ag Os
2 1 1
Cartesian
20.991 3.444 2.024
27.669 4.540 2.668
14.096 2.313 1.359
7.066 1.159 0.681
```

No. 6
The following is a GGA-PBE calculation of crystalline Zr2AgOs at its relaxed geometry, from Alexandria via LeMat-Bulk.

SG   No. 166
DFT formation energy   0.050 eV/atom
Total magnetic moment   0.00 Bohr magnetons per cell

Structure (POSCAR):
```
Zr2AgOs
1.0
-6.217 -5.841 -2.552
-4.614 -5.398 -5.371
-3.496 -7.549 -3.173
Zr Ag Os
2 1 1
Cartesian
-7.272 -9.537 -5.632
-14.217 -18.645 -11.012
-10.745 -14.091 -8.322
-3.582 -4.697 -2.774
```

No. 7
The following is a GGA-PBE calculation of crystalline Zr2AgOs2 at its relaxed geometry, from Alexandria via LeMat-Bulk.

Excess energy over the best structure of this formula in the dataset   0.173 eV/atom
SG   No. 127
DFT formation energy   0.107 eV/atom
Total magnetic moment   0.00 Bohr magnetons per cell

Structure (POSCAR):
```
Zr2AgOs2
1.0
7.872 0.000 0.000
0.000 7.872 0.000
0.000 0.000 3.083
Zr Os Ag
4 4 2
Cartesian
2.768 6.704 0.000
6.704 5.104 0.000
5.104 1.168 0.000
1.168 2.768 0.000
6.722 2.786 1.541
1.150 5.086 1.541
5.086 6.722 1.541
2.786 1.150 1.541
3.936 3.936 0.000
0.000 0.000 0.000
```

No. 8
The following is a GGA-PBE calculation of crystalline AgP at its relaxed geometry, from Alexandria via LeMat-Bulk.

Excess energy over the best structure of this formula in the dataset   0.202 eV/atom
SG   No. 129
DFT formation energy   0.318 eV/atom
Total magnetic moment   0.00 Bohr magnetons per cell

Structure (POSCAR):
```
AgP
1.0
3.037 0.000 0.000
0.000 3.037 0.000
0.000 0.000 7.651
Ag P
2 2
Cartesian
0.759 0.759 0.984
2.278 2.278 6.667
2.278 2.278 3.316
0.759 0.759 4.335
```

No. 9
The following is a GGA-PBE calculation of crystalline AgP at its relaxed geometry, from Alexandria via LeMat-Bulk.

Excess energy over the best structure of this formula in the dataset   0.169 eV/atom
SG   No. 74
DFT formation energy   0.285 eV/atom
Total magnetic moment   0.00 Bohr magnetons per cell

Structure (POSCAR):
```
AgP
1.0
-4.575 -3.680 1.890
-0.252 -6.146 0.457
2.711 5.371 1.357
Ag P
2 2
Cartesian
0.442 2.197 1.708
-2.558 -6.652 1.996
0.266 -0.904 0.623
-2.381 -3.551 3.081
```

No. 10
The following is a GGA-PBE calculation of crystalline AgP at its relaxed geometry, from Alexandria via LeMat-Bulk.

Excess energy over the best structure of this formula in the dataset   0.268 eV/atom
SG   No. 11
DFT formation energy   0.383 eV/atom
Total magnetic moment   0.00 Bohr magnetons per cell

Structure (POSCAR):
```
AgP
1.0
-3.392 -0.192 -3.442
1.813 -1.108 -1.725
2.225 -7.026 -1.800
Ag P
2 2
Cartesian
1.880 -5.354 -3.253
-1.234 -2.972 -3.714
-0.133 -6.518 -4.602
0.778 -1.808 -2.365
```

No. 11
The following is a GGA-PBE calculation of crystalline Ag4P3 at its relaxed geometry, from Alexandria via LeMat-Bulk.

Excess energy over the best structure of this formula in the dataset   0.127 eV/atom
SG   No. 191
DFT formation energy   0.451 eV/atom
Total magnetic moment   0.00 Bohr magnetons per cell

Structure (POSCAR):
```
Ag4P3
1.0
-2.106 3.826 -1.979
-1.997 -4.336 -0.448
-3.213 0.939 5.236
P Ag
3 4
Cartesian
-2.052 -0.255 -1.213
-1.053 1.913 -0.989
-0.999 -2.168 -0.224
-3.640 -1.146 1.660
-2.309 0.675 3.763
-0.904 0.264 1.473
-3.676 1.575 1.149
```

No. 12
The following is a GGA-PBE calculation of crystalline AgP at its relaxed geometry, from Alexandria via LeMat-Bulk.

Excess energy over the best structure of this formula in the dataset   0.303 eV/atom
SG   No. 166
DFT formation energy   0.419 eV/atom
Total magnetic moment   0.00 Bohr magnetons per cell

Structure (POSCAR):
```
AgP
1.0
-2.946 -3.944 -0.791
0.871 -3.866 -3.026
0.865 -4.732 1.312
Ag P
2 2
Cartesian
-1.071 -11.113 -2.220
-0.138 -1.428 -0.285
-0.828 -8.593 -1.716
-0.381 -3.948 -0.789
```

- What is the total magnetic moment in the eleventh record?
  0.00 Bohr magnetons per cell

- Which of these has the lowest DFT formation energy?
  number 3